1.
Here is a crystal of LiBe3In relaxed with PBEsol from the Alexandria database. Energies are from meta-GGA SCAN.

a b c (Å): 4.030 4.030 4.030
angles (deg): 90.00 90.00 90.00
Fractional positions:
Be 0.000 0.000 0.500
Be 0.500 0.000 0.000
Be 0.000 0.500 0.000
Li 0.000 0.000 0.000
In 0.500 0.500 0.500

Values from the calculation:
Total moment   0.00 μB per atom
Formation energy   4.6 eV/f.u.

=====

2.
Here is a crystal of ZrBe2Ir2 relaxed with PBEsol from the Alexandria database. Energies are from meta-GGA SCAN.

a b c (Å): 4.007 4.007 5.055
angles (deg): 113.35 113.35 90.00
Fractional positions:
Be 0.370 0.370 0.740
Be 0.630 0.630 0.260
Zr 0.000 0.000 0.000
Ir 0.750 0.250 0.500
Ir 0.250 0.750 0.500

Values from the calculation:
Total moment   0.00 μB per atom
Formation energy   -4.3 eV/f.u.
Distance to the lowest polymorph of the same formula   0 meV per atom

=====

formation energy of number 2 (ZrBe2Ir2)?
-4.3 eV/f.u.

=====

formation energy of number 2 (ZrBe2Ir2)?
-4.3 eV/f.u.

=====

Which formula does entry 2 have?
ZrBe2Ir2